# 1
Computed, not measured: a PBEsol-optimized structure of YHf3As at the SCAN level of DFT.

Results
Symmetry   No. 221

Lattice parameters (Å, degrees): 4.988 4.988 4.988 90.00 90.00 90.00
Atoms (fractional coordinates):
As 0.000 0.000 0.000
Hf 0.000 0.500 0.000
Y 0.500 0.500 0.500
Hf 0.500 0.000 0.000
Hf 0.000 0.000 0.500

# 2
Computed, not measured: a PBEsol-optimized structure of CaLuHg2 at the SCAN level of DFT.

Results
Symmetry   No. 225

Lattice parameters (Å, degrees): 5.136 5.136 5.136 60.00 60.00 60.00
Atoms (fractional coordinates):
Ca 0.000 0.000 0.000
Hg 0.250 0.250 0.250
Lu 0.500 0.500 0.500
Hg 0.750 0.750 0.750

# 3
Computed, not measured: a PBEsol-optimized structure of SmGePd at the SCAN level of DFT.

Results
Symmetry   No. 12

Lattice parameters (Å, degrees): 4.359 5.607 5.721 77.66 67.61 67.12
Atoms (fractional coordinates):
Pd 0.177 0.373 0.272
Ge 0.159 0.780 0.901
Ge 0.841 0.220 0.099
Sm 0.547 0.214 0.692
Sm 0.453 0.786 0.308
Pd 0.823 0.627 0.728

# 4
Computed, not measured: a PBEsol-optimized structure of MgTa2Mn at the SCAN level of DFT.

Results
Symmetry   No. 71

Lattice parameters (Å, degrees): 3.153 4.641 5.231 116.34 107.54 90.00
Atoms (fractional coordinates):
Mg 0.000 0.500 0.000
Ta 0.784 0.784 0.568
Mn 0.500 0.000 0.000
Ta 0.216 0.216 0.432

The following E_tot values (in eV/cell) correspond, in order, to the records above: -236.2 -204.1 -198.7 -155.5.
The following calculated formation energy values (in meV per atom) correspond, in order, to the records above: -33 -697 -1007 218.